Entry 1:
Material: TiNi4Au
Method: DFT, PBE
State: optimized geometry

a = 4.7529 Å, b = 4.7529 Å, c = 4.7529 Å
α = 60.00°, β = 60.00°, γ = 60.00°
Last column: nearest neighbours and their distance in Å.
Atoms (fractional coordinates):
Ni 0.6250 0.6250 0.1251  6 Ni 2.38
Ni 0.6250 0.1251 0.6250  6 Ni 2.38
Ni 0.6250 0.6250 0.6250  6 Ni 2.38
Ni 0.1251 0.6250 0.6250  6 Ni 2.38
Au 0.0000 0.0000 0.0000  12 Ni 2.79, 4 Ti 2.91
Ti 0.2500 0.2500 0.2500  12 Ni 2.79, 4 Au 2.91

Output
Fermi-level density of states	6.7	states/eV/cell
total moment	0.0002	μB per atom
energy	-6.03	eV per atom
ρ	10.49	g/cm3
crystal system	cubic
energy of formation from the pure elements	-0.31	eV per atom

***

Entry 2:
Material: Li4ZnIn
Method: DFT, PBE
State: optimized geometry

a = 4.6376 Å, b = 5.4920 Å, c = 8.5335 Å
α = 70.75°, β = 90.00°, γ = 90.00°
Last column: nearest neighbours and their distance in Å.
Atoms (fractional coordinates):
Li 0.2500 0.8117 0.4124  5 Li 2.69-2.77, 3 Zn 2.89-2.92
Li 0.2500 0.9174 0.0757  5 Li 2.66-2.76, 2 In 2.92, 1 Zn 2.97
Li 0.7500 0.6884 0.5799  5 Li 2.68-2.77, 1 Zn 2.93, 2 In 2.98
Li 0.7500 0.5883 0.9090  5 Li 2.68-2.78, 1 In 2.92, 2 Zn 2.94
Li 0.7500 0.1883 0.5876  5 Li 2.69-2.77, 3 Zn 2.89-2.92
Li 0.2500 0.3116 0.4201  5 Li 2.68-2.77, 1 Zn 2.93, 2 In 2.98
Li 0.7500 0.0826 0.9243  5 Li 2.66-2.76, 2 In 2.92, 1 Zn 2.97
Li 0.2500 0.4117 0.0910  5 Li 2.68-2.78, 1 In 2.92, 2 Zn 2.94
Zn 0.7499 0.1142 0.2647  2 In 2.74-2.76, 9 Li 2.89-3.04
Zn 0.2501 0.8858 0.7353  2 In 2.74-2.76, 9 Li 2.89-3.04
In 0.7500 0.6237 0.2434  2 Zn 2.74-2.76, 9 Li 2.92-3.07
In 0.2500 0.3763 0.7566  2 Zn 2.74-2.76, 9 Li 2.92-3.07

Output
Fermi-level density of states	4.6	states/eV/cell
total moment	0.0000	μB per atom
energy	-2.15	eV per atom
ρ	3.37	g/cm3
crystal system	monoclinic
energy of formation from the pure elements	-0.20	eV per atom

***

Entry 3:
Material: MgPd5Au6
Method: DFT, PBE
State: optimized geometry

a = 4.1171 Å, b = 8.0213 Å, c = 7.5663 Å
α = 122.01°, β = 105.79°, γ = 90.00°
Last column: nearest neighbours and their distance in Å.
Atoms (fractional coordinates):
Mg 0.0000 0.0000 0.0000  4 Pd 2.84, 8 Au 2.86-2.90
Au 0.8330 0.5811 0.6660  7 Pd 2.84-2.89, 1 Mg 2.86, 4 Au 2.88-2.89
Au 0.8330 0.0849 0.6660  7 Pd 2.84-2.89, 1 Mg 2.86, 4 Au 2.88-2.89
Au 0.5000 0.7457 0.0000  6 Pd 2.83-2.85, 4 Au 2.89, 2 Mg 2.90
Au 0.5000 0.2543 0.0000  6 Pd 2.83-2.85, 4 Au 2.89, 2 Mg 2.90
Au 0.1670 0.9151 0.3340  7 Pd 2.84-2.89, 1 Mg 2.86, 4 Au 2.88-2.89
Au 0.1670 0.4189 0.3340  7 Pd 2.84-2.89, 1 Mg 2.86, 4 Au 2.88-2.89
Pd 0.6608 0.1608 0.3217  8 Au 2.83-2.89, 2 Mg 2.84, 2 Pd 2.92
Pd 0.3311 0.3311 0.6621  8 Au 2.84-2.86, 4 Pd 2.91-2.92
Pd 0.0000 0.5000 0.0000  8 Au 2.84-2.85, 4 Pd 2.91
Pd 0.6689 0.6689 0.3379  8 Au 2.84-2.86, 4 Pd 2.91-2.92
Pd 0.3392 0.8392 0.6783  8 Au 2.83-2.89, 2 Mg 2.84, 2 Pd 2.92

Output
Fermi-level density of states	6.0	states/eV/cell
total moment	0.0000	μB per atom
energy	-4.17	eV per atom
ρ	14.38	g/cm3
crystal system	orthorhombic
energy of formation from the pure elements	-0.23	eV per atom